Entry 1:
# Al2CoP | Alexandria | GGA-PBE | optimized geometry
data_Al2CoP
_space_group_name_H-M_alt 'P 1'
_space_group_IT_number 1
_space_group_name_Hall 'P 1'
_cell_length_a 3.168
_cell_length_b 3.243
_cell_length_c 5.051
_cell_angle_alpha 90.00
_cell_angle_beta 90.00
_cell_angle_gamma 90.00
loop_
_atom_site_label
_atom_site_type_symbol
_atom_site_fract_x
_atom_site_fract_y
_atom_site_fract_z
Al1 Al 0.000 0.000 0.249
Al2 Al 0.000 0.000 0.751
Co1 Co 0.500 0.500 0.000
P1 P 0.500 0.500 0.500
# DOS at the Fermi energy   2.55 states/eV per cell
# DFT total energy   -5.218 eV/atom
# Total magnetization   0.000 μB/cell
# Energy relative to the elements   -0.22 eV/atom

Entry 2:
# AlCoP2 | Alexandria | GGA-PBE | optimized geometry
data_AlCoP2
_space_group_name_H-M_alt 'P 1'
_space_group_IT_number 1
_space_group_name_Hall 'P 1'
_cell_length_a 3.440
_cell_length_b 3.440
_cell_length_c 5.860
_cell_angle_alpha 106.99
_cell_angle_beta 106.99
_cell_angle_gamma 59.96
loop_
_atom_site_label
_atom_site_type_symbol
_atom_site_fract_x
_atom_site_fract_y
_atom_site_fract_z
Al1 Al 0.000 0.000 0.000
Co1 Co 0.500 0.500 0.500
P1 P 0.236 0.236 0.710
P2 P 0.764 0.764 0.290
# DOS at the Fermi energy   1.99 states/eV per cell
# DFT total energy   -5.624 eV/atom
# Total magnetization   0.000 μB/cell
# Energy relative to the elements   -0.21 eV/atom

Entry 3:
# AlCoP2 | Alexandria | GGA-PBE | optimized geometry
data_AlCoP2
_space_group_name_H-M_alt 'P 1'
_space_group_IT_number 1
_space_group_name_Hall 'P 1'
_cell_length_a 2.729
_cell_length_b 2.729
_cell_length_c 7.584
_cell_angle_alpha 90.00
_cell_angle_beta 90.00
_cell_angle_gamma 90.00
loop_
_atom_site_label
_atom_site_type_symbol
_atom_site_fract_x
_atom_site_fract_y
_atom_site_fract_z
Al1 Al 0.000 0.000 0.000
Co1 Co 0.500 0.500 0.220
P1 P 0.000 0.000 0.387
P2 P 0.500 0.500 0.754
# DOS at the Fermi energy   2.07 states/eV per cell
# DFT total energy   -5.472 eV/atom
# Total magnetization   0.001 μB/cell
# Energy relative to the elements   -0.05 eV/atom

Entry 4:
# AlCoP2 | Alexandria | GGA-PBE | optimized geometry
data_AlCoP2
_space_group_name_H-M_alt 'P 1'
_space_group_IT_number 1
_space_group_name_Hall 'P 1'
_cell_length_a 2.670
_cell_length_b 3.075
_cell_length_c 6.423
_cell_angle_alpha 90.00
_cell_angle_beta 90.00
_cell_angle_gamma 90.00
loop_
_atom_site_label
_atom_site_type_symbol
_atom_site_fract_x
_atom_site_fract_y
_atom_site_fract_z
Al1 Al 0.000 0.000 0.000
Co1 Co 0.000 0.000 0.500
P1 P 0.500 0.500 0.290
P2 P 0.500 0.500 0.710
# DOS at the Fermi energy   1.68 states/eV per cell
# DFT total energy   -5.408 eV/atom
# Total magnetization   0.000 μB/cell
# Energy relative to the elements   0.01 eV/atom

Entry 5:
# Al2CoP | Alexandria | GGA-PBE | optimized geometry
data_Al2CoP
_space_group_name_H-M_alt 'P 1'
_space_group_IT_number 1
_space_group_name_Hall 'P 1'
_cell_length_a 4.403
_cell_length_b 4.403
_cell_length_c 2.857
_cell_angle_alpha 90.00
_cell_angle_beta 90.00
_cell_angle_gamma 109.53
loop_
_atom_site_label
_atom_site_type_symbol
_atom_site_fract_x
_atom_site_fract_y
_atom_site_fract_z
Al1 Al 0.000 0.500 0.000
Al2 Al 0.500 0.000 0.000
Co1 Co 0.000 0.000 0.500
P1 P 0.500 0.500 0.500
# DOS at the Fermi energy   2.50 states/eV per cell
# DFT total energy   -5.134 eV/atom
# Total magnetization   0.000 μB/cell
# Energy relative to the elements   -0.13 eV/atom

Entry 6:
# Al3CoP | Alexandria | GGA-PBE | optimized geometry
data_Al3CoP
_space_group_name_H-M_alt 'P 1'
_space_group_IT_number 1
_space_group_name_Hall 'P 1'
_cell_length_a 4.449
_cell_length_b 4.449
_cell_length_c 4.449
_cell_angle_alpha 90.00
_cell_angle_beta 90.00
_cell_angle_gamma 90.00
loop_
_atom_site_label
_atom_site_type_symbol
_atom_site_fract_x
_atom_site_fract_y
_atom_site_fract_z
Al1 Al 0.000 0.000 0.500
Al2 Al 0.000 0.500 0.000
Al3 Al 0.500 0.000 0.000
Co1 Co 0.000 0.000 0.000
P1 P 0.500 0.500 0.500
# Energy above the most stable polymorph in this dataset   0 meV per atom
# DOS at the Fermi energy   4.61 states/eV per cell
# DFT total energy   -4.548 eV/atom
# Total magnetization   0.000 μB/cell
# Energy relative to the elements   0.20 eV/atom